This record from Alexandria via LeMat-Bulk describes a geometry-optimized LiGaAg2Au2 structure. The functional is PBE.

Unit cell a=4.752 b=7.844 c=5.637 alpha=90.00 beta=90.00 gamma=90.00
Fractional positions:
Li1 0.000 0.000 0.000
Li2 0.000 0.000 0.500
Ga1 0.500 0.178 0.248
Ga2 0.500 0.822 0.748
Ag1 0.000 0.340 0.751
Ag2 0.000 0.660 0.251
Ag3 0.500 0.499 0.500
Ag4 0.500 0.501 0.000
Au1 0.000 0.300 0.251
Au2 0.000 0.700 0.751
Au3 0.500 0.149 0.749
Au4 0.500 0.851 0.249

magnetization	0.0	μB/f.u.
ρ	10.85	Mg/m³
formation energy from the elements	-0.25	eV/atom
calculated volume	17.5	A^3/atom
crystal system	orthorhombic
symmetry	No. 26